Here is a geometry-optimized Ce2GaRe structure from Alexandria. Energies are from PBE-GGA.

Its density of states at the Fermi level is 1.656 states/eV per atom. For the energy above the lowest structure with this stoichiometry, the calculation gives 299.4 meV per atom. The value obtained for the total energy is -6.67 eV/atom. The calculation puts the formation energy at 65 kJ/mol of formula units.

The structure belongs to space group R-3m (No. 166, hexagonal axes); the cell edges are 2.9131, 2.9131 and 32.6732 Å and the angles 90.00°, 90.00° and 120.00°. The asymmetric unit holds Ce at (0.0000, 0.0000, 0.2490), Ga at (0.0000, 0.0000, 0.0000) and Re at (0.0000, 0.0000, 0.5000).


Here is a geometry-optimized SiNi2Rh structure from Alexandria. Energies are from PBE-GGA.

Its density of states at the Fermi level is 1.143 states/eV per atom. The formation energy from raw total energies comes out at -0.2738 eV/atom. The value obtained for the total energy is -6.36 eV/atom.

The structure belongs to space group P4/mmm (No. 123); the cell edges are 2.778, 2.778 and 6.135 Å and the angles 90.00°, 90.00° and 90.00°. The asymmetric unit holds Si at (0.000, 0.000, 0.000), Ni at (0.500, 0.500, 0.212) and Rh at (0.000, 0.000, 0.500).


Here is a geometry-optimized Y2CdAg structure from Alexandria. Energies are from PBE-GGA.

Its density of states at the Fermi level is 1.330 states/eV per atom. The value obtained for the total energy is -4.28 eV/atom. The calculation puts the formation energy at -43 kJ/mol of formula units.

The structure belongs to space group R-3m (No. 166, hexagonal axes); the cell edges are 3.7379, 3.7379 and 27.4176 Å and the angles 90.00°, 90.00° and 120.00°. The asymmetric unit holds Y at (0.0000, 0.0000, 0.2456), Cd at (0.0000, 0.0000, 0.0000) and Ag at (0.0000, 0.0000, 0.5000).